No. 1
The following is a PBEsol calculation of an optimized crystal structure of GaAsO4, from Alexandria via LeMat-Bulk.

It has space group C222_1 (No. 20), with a = 7.042 Å, b = 7.072 Å, c = 7.226 Å, α = 90.00°, β = 90.00° and γ = 90.00°. Symmetry generates all atoms from Ga at (0.176, 0.000, 0.000), As at (0.000, 0.328, 0.250), O at (0.020, 0.203, 0.049) and O at (0.195, 0.468, 0.281).

The calculated density comes out at 3.85 g/cm3. The raw formation energy is -1.461 eV/atom.

No. 2
The following is a PBEsol calculation of an optimized crystal structure of Ba2LaCu2HgO7, from Alexandria via LeMat-Bulk.

It has space group P4/mmm (No. 123), with a = 3.871 Å, b = 3.871 Å, c = 12.567 Å, α = 90.00°, β = 90.00° and γ = 90.00°. Symmetry generates all atoms from Ba at (0.000, 0.000, 0.201), La at (0.000, 0.000, 0.500), Cu at (0.500, 0.500, 0.356), Hg at (0.500, 0.500, 0.000), O at (0.000, 0.000, 0.000), O at (0.000, 0.500, 0.376) and O at (0.500, 0.500, 0.167).

The calculated density comes out at 7.52 g/cm3. The raw formation energy is -1.733 eV/atom.

No. 3
The following is a PBEsol calculation of an optimized crystal structure of BeTlCoCu2, from Alexandria via LeMat-Bulk.

It has space group P4/mmm (No. 123), with a = 4.378 Å, b = 4.378 Å, c = 4.767 Å, α = 90.00°, β = 90.00° and γ = 90.00°. Symmetry generates all atoms from Be at (0.000, 0.000, 0.000), Tl at (0.500, 0.500, 0.000), Co at (0.500, 0.500, 0.500) and Cu at (0.000, 0.500, 0.500).

Its total DFT energy (no corrections) is -3.364 eV per atom. The calculated density comes out at 7.26 g/cm3.

What did the second record say?
The following is a PBEsol calculation of an optimized crystal structure of Ba2LaCu2HgO7, from Alexandria via LeMat-Bulk.

It has space group P4/mmm (No. 123), with a = 3.871 Å, b = 3.871 Å, c = 12.567 Å, α = 90.00°, β = 90.00° and γ = 90.00°. Symmetry generates all atoms from Ba at (0.000, 0.000, 0.201), La at (0.000, 0.000, 0.500), Cu at (0.500, 0.500, 0.356), Hg at (0.500, 0.500, 0.000), O at (0.000, 0.000, 0.000), O at (0.000, 0.500, 0.376) and O at (0.500, 0.500, 0.167).

The calculated density comes out at 7.52 g/cm3. The raw formation energy is -1.733 eV/atom.

Which of these has the highest calculated density?
Ba2LaCu2HgO7